DFT (GGA-PBE) results for crystalline Ce2ThAlOs2 at its relaxed geometry.

a b c (Å): 6.9145 6.7161 7.9250
angles (deg): 115.07 115.86 90.00
Last column: nearest neighbours and their distance in Å.
Fractional coordinates of all 12 atoms:
Th 0.2500 0.0000 0.0000  4 Os 2.93
Th 0.7500 0.0000 0.0000  4 Os 2.93
Ce 0.6883 0.8408 0.3766  2 Os 2.65-2.71
Os 0.1085 0.8211 0.2169  2 Al 2.62, 2 Ce 2.65-2.71, 2 Th 2.93
Os 0.8915 0.1789 0.7831  2 Al 2.62, 2 Ce 2.65-2.71, 2 Th 2.93
Al 0.7500 0.5000 0.0000  4 Os 2.62
Ce 0.1883 0.5358 0.3766  2 Os 2.65-2.71
Ce 0.3117 0.1592 0.6234  2 Os 2.65-2.71
Os 0.6085 0.3958 0.2169  2 Al 2.62, 2 Ce 2.65-2.71, 2 Th 2.93
Ce 0.8117 0.4642 0.6234  2 Os 2.65-2.71
Al 0.2500 0.5000 0.0000  4 Os 2.62
Os 0.3915 0.6042 0.7831  2 Al 2.62, 2 Ce 2.65-2.71, 2 Th 2.93

Properties
mass density = 10.46 Mg/m³
ΔE_f = -150 kJ/mol of formula units
magnetic moment = 0.86 μB/cell
symmetry = Ibam (72)
density of states at the Fermi level = 1.555 states/eV/atom

=====

DFT (GGA-PBE) results for crystalline TlIn5Te4 at its relaxed geometry.

a b c (Å): 4.6223 8.5476 8.9051
angles (deg): 104.56 105.04 90.00
Last column: nearest neighbours and their distance in Å.
Fractional coordinates of all 10 atoms:
Te 0.6889 0.2680 0.3778  6 In 3.07-3.43
Te 0.0662 0.7786 0.1325  5 In 3.21-3.31, 2 Tl 3.37
Te 0.9338 0.2214 0.8675  5 In 3.21-3.31, 2 Tl 3.37
In 0.5000 0.5000 0.0000  4 Te 3.30, 4 In 3.44
In 0.6998 0.8754 0.3995  5 Te 3.21-3.43, 2 In 3.31
In 0.8587 0.5403 0.7175  4 Te 3.07-3.31
Tl 0.5000 0.0000 0.0000  6 Te 3.37-3.45
In 0.3002 0.1246 0.6005  5 Te 3.21-3.43, 2 In 3.31
In 0.1413 0.4597 0.2825  4 Te 3.07-3.31
Te 0.3111 0.7320 0.6222  6 In 3.07-3.43

Properties
mass density = 6.52 Mg/m³
formation energy from raw total energies = -0.173 eV/atom
distance to the lowest polymorph of the same formula = 0.05 eV/f.u.
magnetic moment = 0.00 μB/cell
symmetry = C2/m (12)
density of states at the Fermi level = 0.471 states/eV/atom

=====

DFT (GGA-PBE) results for crystalline LuMgCuAu at its relaxed geometry.

a b c (Å): 4.7513 4.7513 4.7513
angles (deg): 60.00 60.00 60.00
Last column: nearest neighbours and their distance in Å.
Fractional coordinates of all 4 atoms:
Mg 0.0000 0.0000 0.0000  4 Cu 2.91, 4 Au 2.91
Lu 0.5000 0.5000 0.5000  4 Cu 2.91, 4 Au 2.91
Au 0.7500 0.7500 0.7500  4 Mg 2.91, 4 Lu 2.91
Cu 0.2500 0.2500 0.2500  4 Lu 2.91, 4 Mg 2.91

Properties
mass density = 10.07 Mg/m³
ΔE_f = -193 kJ/mol of formula units
magnetic moment = 0.00 μB/cell
symmetry = F-43m (216)
density of states at the Fermi level = 0.790 states/eV/atom

=====

DFT (GGA-PBE) results for crystalline Sc2CdSe2 at its relaxed geometry.

a b c (Å): 7.7958 7.7958 3.4257
angles (deg): 90.00 90.00 90.00
Last column: nearest neighbours and their distance in Å.
Fractional coordinates of all 10 atoms:
Sc 0.3495 0.1505 0.5000  6 Se 2.85-2.86
Se 0.8577 0.6423 0.0000  6 Sc 2.85-2.86, 2 Cd 3.00, 1 Se 3.14
Cd 0.5000 0.5000 0.0000  4 Se 3.00
Sc 0.1505 0.6505 0.5000  6 Se 2.85-2.86
Sc 0.6505 0.8495 0.5000  6 Se 2.85-2.86
Se 0.3577 0.8577 0.0000  6 Sc 2.85-2.86, 2 Cd 3.00, 1 Se 3.14
Se 0.1423 0.3577 0.0000  6 Sc 2.85-2.86, 2 Cd 3.00, 1 Se 3.14
Cd 0.0000 0.0000 0.0000  4 Se 3.00
Se 0.6423 0.1423 0.0000  6 Sc 2.85-2.86, 2 Cd 3.00, 1 Se 3.14
Sc 0.8495 0.3495 0.5000  6 Se 2.85-2.86

Properties
mass density = 5.75 Mg/m³
formation energy from raw total energies = -0.980 eV/atom
distance to the lowest polymorph of the same formula = 0.00 eV/f.u.
magnetic moment = 0.00 μB/cell
symmetry = P4/mbm (127)
density of states at the Fermi level = 0.970 states/eV/atom

=====

DFT (GGA-PBE) results for crystalline ZnInPd3 at its relaxed geometry.

a b c (Å): 4.8593 6.4480 6.4480
angles (deg): 119.93 90.00 90.00
Last column: nearest neighbours and their distance in Å.
Fractional coordinates of all 10 atoms:
In 0.7500 0.6665 0.3335  8 Pd 2.89-3.23
Zn 0.5000 0.0000 0.0000  2 Zn 2.43, 6 Pd 2.48
Pd 0.7500 0.6131 0.8062  2 Zn 2.48, 2 Pd 2.71
Pd 0.7500 0.1936 0.8064  2 Zn 2.48, 2 Pd 2.71
Pd 0.7500 0.1938 0.3869  2 Zn 2.48, 2 Pd 2.71
In 0.2500 0.3335 0.6665  8 Pd 2.89-3.23
Pd 0.2500 0.8064 0.1936  2 Zn 2.48, 2 Pd 2.71
Pd 0.2500 0.3869 0.1938  2 Zn 2.48, 2 Pd 2.71
Zn 0.0000 0.0000 0.0000  2 Zn 2.43, 6 Pd 2.48
Pd 0.2500 0.8062 0.6131  2 Zn 2.48, 2 Pd 2.71

Properties
mass density = 9.47 Mg/m³
ΔE_f = -113 kJ/mol of formula units
distance to the lowest polymorph of the same formula = 0.00 eV/f.u.
magnetic moment = 0.00 μB/cell
symmetry = Cmcm (63)
density of states at the Fermi level = 0.574 states/eV/atom

=====

DFT (GGA-PBE) results for crystalline CaMgCu2 at its relaxed geometry.

a b c (Å): 3.4061 3.3957 7.4356
angles (deg): 62.79 90.00 90.00
Last column: nearest neighbours and their distance in Å.
Fractional coordinates of all 4 atoms:
Cu 0.0000 0.5515 0.4486  1 Cu 2.63, 4 Mg 2.74
Ca 0.5000 0.7500 0.7500  8 Cu 3.12, 2 Mg 3.31, 4 Ca 3.40-3.41
Cu 0.0000 0.9485 0.0514  1 Cu 2.63, 4 Mg 2.74
Mg 0.5000 0.2500 0.2500  8 Cu 2.74

Properties
mass density = 4.16 Mg/m³
ΔE_f = -26 kJ/mol of formula units
magnetic moment = 0.00 μB/cell
symmetry = Pmmm (47)
density of states at the Fermi level = 0.424 states/eV/atom

=====

DFT (GGA-PBE) results for crystalline MgSc3 at its relaxed geometry.

a b c (Å): 3.2789 3.2789 8.9540
angles (deg): 90.00 90.00 90.00
Last column: nearest neighbours and their distance in Å.
Fractional coordinates of all 4 atoms:
Mg 0.0000 0.0000 0.0000  8 Sc 3.22, 4 Mg 3.28
Sc 0.5000 0.5000 0.7504  4 Mg 3.22, 8 Sc 3.23-3.28
Sc 0.5000 0.5000 0.2496  4 Mg 3.22, 8 Sc 3.23-3.28
Sc 0.0000 0.0000 0.5000  12 Sc 3.23-3.28

Properties
mass density = 2.75 Mg/m³
ΔE_f = -4 kJ/mol of formula units
distance to the lowest polymorph of the same formula = 0.00 eV/f.u.
magnetic moment = 0.00 μB/cell
symmetry = P4/mmm (123)
density of states at the Fermi level = 1.482 states/eV/atom

=====

DFT (GGA-PBE) results for crystalline LiPmPrTm at its relaxed geometry.

a b c (Å): 5.5706 5.5706 5.5706
angles (deg): 60.00 60.00 60.00
Last column: nearest neighbours and their distance in Å.
Fractional coordinates of all 4 atoms:
Li 0.0000 0.0000 0.0000  4 Pr 3.41, 4 Pm 3.41
Pm 0.7500 0.7500 0.7500  4 Tm 3.41, 4 Li 3.41
Tm 0.5000 0.5000 0.5000  4 Pm 3.41, 4 Pr 3.41
Pr 0.2500 0.2500 0.2500  4 Li 3.41, 4 Tm 3.41

Properties
mass density = 6.27 Mg/m³
ΔE_f = 56 kJ/mol of formula units
magnetic moment = 0.00 μB/cell
symmetry = F-43m (216)
density of states at the Fermi level = 1.193 states/eV/atom

=====

DFT (GGA-PBE) results for crystalline CePmPrTm at its relaxed geometry.

a b c (Å): 5.7290 5.7290 5.7290
angles (deg): 60.00 60.00 60.00
Last column: nearest neighbours and their distance in Å.
Fractional coordinates of all 4 atoms:
Pr 0.2500 0.2500 0.2500  4 Pm 3.51, 4 Tm 3.51
Tm 0.0000 0.0000 0.0000  4 Pr 3.51, 4 Ce 3.51
Pm 0.5000 0.5000 0.5000  4 Ce 3.51, 4 Pr 3.51
Ce 0.7500 0.7500 0.7500  4 Pm 3.51, 4 Tm 3.51

Properties
mass density = 7.43 Mg/m³
ΔE_f = 71 kJ/mol of formula units
distance to the lowest polymorph of the same formula = 0.00 eV/f.u.
magnetic moment = 1.01 μB/cell
symmetry = F-43m (216)
density of states at the Fermi level = 2.906 states/eV/atom

=====

DFT (GGA-PBE) results for crystalline SmErC at its relaxed geometry.

a b c (Å): 3.6090 6.2555 6.5938
angles (deg): 99.14 105.88 90.00
Last column: nearest neighbours and their distance in Å.
Fractional coordinates of all 6 atoms:
Sm 0.3869 0.6291 0.7739  3 C 2.52
Er 0.1047 0.8684 0.2093  3 C 2.46
C 0.0000 0.5000 0.0000  2 Er 2.46, 4 Sm 2.52
Sm 0.6131 0.3709 0.2261  3 C 2.52
C 0.5000 0.0000 0.0000  4 Er 2.46, 2 Sm 2.52
Er 0.8953 0.1316 0.7907  3 C 2.46

Properties
mass density = 7.75 Mg/m³
ΔE_f = -66 kJ/mol of formula units
distance to the lowest polymorph of the same formula = 0.01 eV/f.u.
magnetic moment = 0.62 μB/cell
symmetry = C2/m (12)
density of states at the Fermi level = 0.802 states/eV/atom